Below is a relaxed structure of MnCo4Os, with properties calculated at the GGA-PBE level.

Summary:
DFT total energy = -47.6 eV/cell
formation energy = 19.20 kJ/mol of atoms

Structure (extended XYZ):
```
6
Lattice="0.000 3.304 3.304 3.304 0.000 3.304 3.304 3.304 0.000" Properties=species:S:1:pos:R:3 pbc="T T T"
Os 0.000 0.000 0.000
Mn 4.956 4.956 4.956
Co 2.483 2.483 2.483
Co 4.125 2.483 4.125
Co 2.483 4.125 4.125
Co 4.125 4.125 2.483
```